Density functional theory data (PBE+U) for a relaxed structure of FeCu2OsF.

Cell: 4.6359 4.7844 4.6359 Å, 90.00 90.00 90.00°
Each line ends with the local moment (μB).
Fractional positions:
F  0.5000  0.5000  0.5000  0.01
Fe  0.0000  0.5000  0.0000  3.69
Os  0.0000  0.0000  0.0000  0.62
Cu  0.0000  0.0000  0.5000  0.10
Cu  0.5000  0.0000  0.0000  0.02

Output
Fermi-level density of states	4.24	states/eV/cell
magnetization	4.51	μB per cell
raw total energy	-4.21	eV per atom